First-principles (PBE) data for Tb6Pm12Dy after structural relaxation, as listed in Alexandria.

a = 16.2242 Å, b = 16.2242 Å, c = 8.6427 Å
α = 90.00°, β = 90.00°, γ = 120.00°
Closest atoms and distances in Å follow each position.
Space group R-3m (No. 166, hexagonal axes)
Asymmetric unit:
Tb (0.0813, 0.1625, 0.1472) [18 per cell]  2 Tb 3.42, 4 Pm 3.44-3.48, 1 Dy 3.81
Pm (0.0000, 0.3844, 0.0000) [18 per cell]  4 Pm 3.17-3.22, 2 Tb 3.44
Pm (0.0896, 0.5448, 0.3196) [18 per cell]  2 Pm 3.17, 2 Tb 3.48
Dy (0.0000, 0.0000, 0.5000) [3 per cell]  6 Pm 3.67, 6 Tb 3.81

Output
The energy above the lowest structure with this stoichiometry is 0.1939 eV/atom. For the energy relative to the elements, the calculation gives 0.33 eV/atom. The calculated volume comes out at 34.565 A^3/atom.

=====

First-principles (PBE) data for CaPt3W after structural relaxation, as listed in Alexandria.

a = 4.9018 Å, b = 4.9018 Å, c = 4.9018 Å
α = 90.00°, β = 90.00°, γ = 90.00°
Closest atoms and distances in Å follow each position.
Space group Pm-3m (No. 221)
Asymmetric unit:
Ca (0.0000, 0.0000, 0.0000) [1 per cell]  12 Pt 3.47
Pt (0.0000, 0.5000, 0.5000) [3 per cell]  2 W 2.45
W (0.5000, 0.5000, 0.5000) [1 per cell]  6 Pt 2.45

Output
For the energy relative to the elements, the calculation gives 0.20 eV/atom. The calculated volume comes out at 23.556 A^3/atom.

=====

First-principles (PBE) data for LiPrSBr after structural relaxation, as listed in Alexandria.

a = 4.0312 Å, b = 4.0312 Å, c = 43.4785 Å
α = 90.00°, β = 90.00°, γ = 120.00°
Closest atoms and distances in Å follow each position.
Space group R-3m (No. 166, hexagonal axes)
Asymmetric unit:
Li (0.0000, 0.0000, 0.1868) [6 per cell]  4 S 2.45-2.51
Pr (0.0000, 0.0000, 0.4213) [6 per cell]  3 S 2.94, 3 Br 3.02
S (0.0000, 0.0000, 0.1291) [6 per cell]  4 Li 2.45-2.51
Br (0.0000, 0.0000, 0.2896) [6 per cell]  3 Pr 3.02

Output
The value obtained for the energy relative to the elements, uncorrected is -154 kJ per mole of atoms. The calculated volume comes out at 25.495 A^3/atom.

=====

First-principles (PBE) data for La3YPb5 after structural relaxation, as listed in Alexandria.

a = 9.8178 Å, b = 9.8178 Å, c = 6.7579 Å
α = 90.00°, β = 90.00°, γ = 120.00°
Closest atoms and distances in Å follow each position.
Space group P6_3/mcm (No. 193)
Asymmetric unit:
La (0.0000, 0.3824, 0.2500) [6 per cell]  9 Pb 3.30-3.52
Y (0.0000, 0.0000, 0.0000) [2 per cell]  6 Pb 3.24, 2 Y 3.38
Pb (0.0000, 0.2814, 0.7500) [6 per cell]  2 Y 3.24, 5 La 3.30-3.52
Pb (0.3333, 0.6667, 0.0000) [4 per cell]  2 Pb 3.38, 6 La 3.50

Output
For the energy relative to the elements, the calculation gives -0.54 eV/atom. The calculated volume comes out at 31.340 A^3/atom.

=====

First-principles (PBE) data for LiCe3C2N6 after structural relaxation, as listed in Alexandria.

a = 5.3857 Å, b = 5.3857 Å, c = 6.0764 Å
α = 90.00°, β = 90.00°, γ = 120.00°
Closest atoms and distances in Å follow each position.
Space group P-3m1 (No. 164)
Asymmetric unit:
Li (0.0000, 0.0000, 0.0000) [1 per cell]  6 N 2.23
Ce (0.0000, 0.0000, 0.5000) [1 per cell]  6 N 2.39
Ce (0.3333, 0.6667, 0.1589) [2 per cell]  1 C 2.48, 9 N 2.73
C (0.3333, 0.6667, 0.7513) [2 per cell]  3 N 1.37
N (0.1868, 0.3736, 0.7703) [6 per cell]  1 C 1.37

Output
The value obtained for the energy relative to the elements, uncorrected is -77 kJ per mole of atoms. The calculated volume comes out at 12.720 A^3/atom.

=====

First-principles (PBE) data for CdOsAu2 after structural relaxation, as listed in Alexandria.

a = 9.7679 Å, b = 2.8028 Å, c = 5.1615 Å
α = 90.00°, β = 99.84°, γ = 90.00°
Closest atoms and distances in Å follow each position.
Space group Cm (No. 8)
Asymmetric unit:
Cd (0.0000, 0.0000, 0.0000) [2 per cell]  2 Cd 2.80, 7 Au 2.89-2.99, 3 Os 2.90-2.98
Os (0.2529, 0.0000, 0.7489) [2 per cell]  2 Os 2.80, 7 Au 2.84-2.97, 3 Cd 2.90-2.98
Au (0.0102, 0.5000, 0.5138) [2 per cell]  5 Au 2.80-2.98, 3 Os 2.84-2.97, 4 Cd 2.89-2.99
Au (0.2544, 0.5000, 0.2542) [2 per cell]  5 Au 2.80-2.98, 4 Os 2.91-2.96, 3 Cd 2.92-2.96

Output
For the energy relative to the elements, the calculation gives 0.44 eV/atom. The calculated volume comes out at 17.404 A^3/atom.

=====

First-principles (PBE) data for Pr2MnAl4Pt3 after structural relaxation, as listed in Alexandria.

a = 4.2660 Å, b = 4.2660 Å, c = 10.6533 Å
α = 90.00°, β = 90.00°, γ = 90.00°
Closest atoms and distances in Å follow each position.
Space group P-4m2 (No. 115)
Asymmetric unit:
Pr (0.0000, 0.5000, 0.2488) [2 per cell]  8 Al 3.27-3.42, 6 Pt 3.28-3.40, 2 Mn 3.40
Mn (0.5000, 0.5000, 0.0000) [1 per cell]  4 Al 2.55
Al (0.0000, 0.0000, 0.5000) [1 per cell]  4 Pt 2.55
Al (0.0000, 0.5000, 0.8688) [2 per cell]  3 Pt 2.54-2.55, 2 Mn 2.55
Al (0.5000, 0.5000, 0.5000) [1 per cell]  4 Pt 2.55
Pt (0.0000, 0.0000, 0.0000) [1 per cell]  4 Al 2.55
Pt (0.0000, 0.5000, 0.6308) [2 per cell]  5 Al 2.54-2.55

Output
For the energy relative to the elements, the calculation gives -0.90 eV/atom. The calculated volume comes out at 19.388 A^3/atom.

=====

First-principles (PBE) data for AsOsCBr2 after structural relaxation, as listed in Alexandria.

a = 4.4194 Å, b = 4.4194 Å, c = 4.2818 Å
α = 90.00°, β = 90.00°, γ = 90.00°
Closest atoms and distances in Å follow each position.
Space group P4/mmm (No. 123)
Asymmetric unit:
As (0.0000, 0.0000, 0.0000) [1 per cell]  2 C 2.14
Os (0.5000, 0.5000, 0.0000) [1 per cell]  8 Br 3.08, 4 As 3.13
C (0.0000, 0.0000, 0.5000) [1 per cell]  2 As 2.14, 4 Br 2.21
Br (0.0000, 0.5000, 0.5000) [2 per cell]  2 C 2.21

Output
The energy above the lowest structure with this stoichiometry is 0.1593 eV/atom. The value obtained for the energy relative to the elements, uncorrected is 195 kJ per mole of atoms. The calculated volume comes out at 16.726 A^3/atom.

=====

First-principles (PBE) data for LiHf6Ir5 after structural relaxation, as listed in Alexandria.

a = 14.4239 Å, b = 6.6499 Å, c = 4.5877 Å
α = 90.00°, β = 105.34°, γ = 90.00°
Closest atoms and distances in Å follow each position.
Space group C2/m (No. 12)
Asymmetric unit:
Li (0.0000, 0.0000, 0.0000) [2 per cell]  8 Hf 2.85-2.87, 4 Ir 3.11-3.17
Hf (0.0000, 0.2538, 0.5000) [4 per cell]  6 Ir 2.73-2.93, 2 Li 2.85
Hf (0.1672, 0.2535, 0.1666) [8 per cell]  7 Ir 2.77-2.98, 1 Li 2.87
Ir (0.0000, 0.5000, 0.0000) [2 per cell]  8 Hf 2.82-2.85
Ir (0.1542, 0.0000, 0.6381) [4 per cell]  8 Hf 2.73-2.98
Ir (0.1745, 0.5000, 0.6827) [4 per cell]  8 Hf 2.77-2.93

Output
For the energy relative to the elements, the calculation gives -0.81 eV/atom. The calculated volume comes out at 17.681 A^3/atom.

=====

First-principles (PBE) data for LaPm5Co3 after structural relaxation, as listed in Alexandria.

a = 6.4757 Å, b = 4.0604 Å, c = 19.4808 Å
α = 90.00°, β = 90.70°, γ = 90.00°
Closest atoms and distances in Å follow each position.
Space group P2/m (No. 10)
Asymmetric unit:
La (0.2279, 0.0000, 0.2220) [2 per cell]  3 Co 2.68-2.74
Pm (0.2265, 0.0000, 0.8886) [2 per cell]  3 Co 2.76-2.78
Pm (0.2335, 0.0000, 0.5555) [2 per cell]  3 Co 2.75-2.79
Pm (0.2688, 0.5000, 0.3912) [2 per cell]  3 Co 2.76
Pm (0.2704, 0.5000, 0.7205) [2 per cell]  3 Co 2.74-2.83
Pm (0.2711, 0.5000, 0.0537) [2 per cell]  3 Co 2.73-2.83
Co (0.0000, 0.5000, 0.5000) [1 per cell]  6 Pm 2.75-2.76
Co (0.0085, 0.5000, 0.1686) [2 per cell]  2 La 2.68, 4 Pm 2.76-2.83
Co (0.4948, 0.0000, 0.3320) [2 per cell]  1 La 2.74, 5 Pm 2.74-2.79
Co (0.5000, 0.0000, 0.0000) [1 per cell]  6 Pm 2.73-2.78

Output
For the energy relative to the elements, the calculation gives -0.04 eV/atom. The calculated volume comes out at 28.455 A^3/atom.

=====

First-principles (PBE) data for K2MnSn after structural relaxation, as listed in Alexandria.

a = 8.2197 Å, b = 8.2197 Å, c = 8.2197 Å
α = 90.00°, β = 90.00°, γ = 90.00°
Closest atoms and distances in Å follow each position.
Space group Fm-3m (No. 225)
Asymmetric unit:
K (0.2500, 0.2500, 0.2500) [8 per cell]  4 Sn 3.56, 4 Mn 3.56
Mn (0.0000, 0.0000, 0.0000) [4 per cell]  8 K 3.56
Sn (0.0000, 0.0000, 0.5000) [4 per cell]  8 K 3.56

Output
For the energy relative to the elements, the calculation gives 0.60 eV/atom. The calculated volume comes out at 34.709 A^3/atom.

=====

First-principles (PBE) data for SrReRh2 after structural relaxation, as listed in Alexandria.

a = 2.8790 Å, b = 3.5375 Å, c = 7.4063 Å
α = 90.00°, β = 90.00°, γ = 90.00°
Closest atoms and distances in Å follow each position.
Space group Pmmm (No. 47)
Asymmetric unit:
Sr (0.0000, 0.0000, 0.0000) [1 per cell]  2 Sr 2.88
Re (0.0000, 0.0000, 0.5000) [1 per cell]  8 Rh 2.66, 2 Re 2.88
Rh (0.5000, 0.5000, 0.3142) [2 per cell]  4 Re 2.66, 3 Rh 2.75-2.88

Output
The energy above the lowest structure with this stoichiometry is 0.0000 eV/atom. For the energy relative to the elements, the calculation gives 0.16 eV/atom. The calculated volume comes out at 18.858 A^3/atom.